[1]
KS14Br PBE-GGA optimized geometry; total DFT energy (no corrections) = -3.87 eV per atom; space-group type = Imma (74); raw formation energy = -9 kJ per mole of atoms
1.0
-6.226 9.195 5.368
6.226 -9.195 5.368
6.226 9.195 -5.368
K S Br
2 28 2
Direct
0.500 0.000 0.000 K
0.500 0.500 0.500 K
0.058 0.749 0.309 S
0.060 0.251 0.809 S
0.087 0.921 0.165 S
0.130 0.460 0.258 S
0.130 0.872 0.670 S
0.222 0.528 0.431 S
0.222 0.792 0.694 S
0.256 0.921 0.335 S
0.286 0.223 0.063 S
0.298 0.128 0.758 S
0.298 0.540 0.170 S
0.340 0.777 0.563 S
0.402 0.208 0.931 S
0.402 0.472 0.194 S
0.598 0.528 0.806 S
0.598 0.792 0.069 S
0.660 0.223 0.437 S
0.702 0.460 0.830 S
0.702 0.872 0.242 S
0.714 0.777 0.937 S
0.744 0.079 0.665 S
0.778 0.208 0.306 S
0.778 0.472 0.569 S
0.870 0.128 0.330 S
0.870 0.540 0.742 S
0.913 0.079 0.835 S
0.940 0.749 0.191 S
0.942 0.251 0.691 S
0.386 0.636 0.750 Br
0.614 0.364 0.250 Br

=====

[2]
Zr2AlZnW PBE-GGA optimized geometry; total DFT energy (no corrections) = -6.22 eV per atom; space-group type = P4/mmm (123); calculated formation energy = 0.789 eV/atom; D(E_F) = 4.00 states/eV/cell
1.0
5.048 0.000 0.000
0.000 5.048 0.000
0.000 0.000 4.936
Zr Al Zn W
2 1 1 1
Direct
0.000 0.500 0.000 Zr
0.500 0.000 0.000 Zr
0.000 0.000 0.500 Al
0.500 0.500 0.500 Zn
0.000 0.000 0.000 W

=====

[3]
Pm5Ho3Th2 PBE-GGA optimized geometry; total DFT energy (no corrections) = -5.02 eV per atom; space-group type = C2/c (15); calculated formation energy = 0.209 eV/atom; D(E_F) = 31.35 states/eV/cell
1.0
5.448 -8.667 0.000
5.448 8.667 0.000
-5.428 0.000 7.227
Pm Ho Th
10 6 4
Direct
0.030 0.970 0.750 Pm
0.134 0.366 0.753 Pm
0.221 0.779 0.750 Pm
0.278 0.722 0.250 Pm
0.366 0.134 0.253 Pm
0.634 0.866 0.747 Pm
0.722 0.278 0.750 Pm
0.779 0.221 0.250 Pm
0.866 0.634 0.247 Pm
0.970 0.030 0.250 Pm
0.024 0.268 0.042 Ho
0.268 0.024 0.542 Ho
0.466 0.534 0.250 Ho
0.534 0.466 0.750 Ho
0.732 0.976 0.458 Ho
0.976 0.732 0.958 Ho
0.244 0.487 0.481 Th
0.487 0.244 0.981 Th
0.513 0.756 0.019 Th
0.756 0.513 0.519 Th

=====

[4]
Ho4Cd3Os PBE-GGA optimized geometry; total DFT energy (no corrections) = -4.35 eV per atom; space-group type = P4/mmm (123); calculated formation energy = -0.316 eV/atom; D(E_F) = 5.51 states/eV/cell
1.0
3.467 0.000 0.000
0.000 3.467 0.000
0.000 0.000 16.157
Ho Cd Os
4 3 1
Direct
0.000 0.000 0.101 Ho
0.000 0.000 0.368 Ho
0.000 0.000 0.632 Ho
0.000 0.000 0.899 Ho
0.500 0.500 0.240 Cd
0.500 0.500 0.500 Cd
0.500 0.500 0.760 Cd
0.500 0.500 0.000 Os

=====

[5]
LaOsO2 PBE-GGA optimized geometry; total DFT energy (no corrections) = -8.03 eV per atom; space-group type = R-3m (166); raw formation energy = -146 kJ per mole of atoms; energy above the most stable polymorph in this dataset = 0 meV/atom; D(E_F) = 0.86 states/eV/cell
1.0
1.928 1.113 5.764
-1.928 1.113 5.764
0.000 -2.226 5.764
La Os O
1 1 2
Direct
0.000 0.000 0.000 La
0.500 0.500 0.500 Os
0.388 0.388 0.388 O
0.612 0.612 0.612 O

=====

[6]
CaZnBiAu PBE-GGA optimized geometry; total DFT energy (no corrections) = -2.98 eV per atom; space-group type = F-43m (216); calculated formation energy = -0.370 eV/atom; D(E_F) = 1.50 states/eV/cell
1.0
0.000 3.623 3.623
3.623 0.000 3.623
3.623 3.623 0.000
Ca Zn Bi Au
1 1 1 1
Direct
0.000 0.000 0.000 Ca
0.750 0.750 0.750 Zn
0.500 0.500 0.500 Bi
0.250 0.250 0.250 Au

=====

[7]
AcLaCoPt PBE-GGA optimized geometry; total DFT energy (no corrections) = -5.99 eV per atom; space-group type = F-43m (216); calculated formation energy = -0.441 eV/atom; D(E_F) = 1.75 states/eV/cell
1.0
0.000 3.652 3.652
3.652 0.000 3.652
3.652 3.652 0.000
Ac La Co Pt
1 1 1 1
Direct
0.000 0.000 0.000 Ac
0.500 0.500 0.500 La
0.750 0.750 0.750 Co
0.250 0.250 0.250 Pt

=====

[8]
ZrCuRu2 PBE-GGA optimized geometry; total DFT energy (no corrections) = -7.75 eV per atom; space-group type = F-43m (216); calculated formation energy = 0.053 eV/atom; D(E_F) = 5.63 states/eV/cell
1.0
0.000 3.146 3.146
3.146 0.000 3.146
3.146 3.146 0.000
Zr Cu Ru
1 1 2
Direct
0.000 0.000 0.000 Zr
0.250 0.250 0.250 Cu
0.500 0.500 0.500 Ru
0.750 0.750 0.750 Ru

=====

[9]
Tb2SmPb3 PBE-GGA optimized geometry; total DFT energy (no corrections) = -4.70 eV per atom; space-group type = C2/c (15); calculated formation energy = -0.514 eV/atom; D(E_F) = 6.42 states/eV/cell
1.0
8.538 -3.231 0.000
8.538 3.231 0.000
-1.205 0.000 6.332
Tb Sm Pb
4 2 6
Direct
0.042 0.291 0.081 Tb
0.291 0.042 0.581 Tb
0.709 0.958 0.419 Tb
0.958 0.709 0.919 Tb
0.375 0.625 0.750 Sm
0.625 0.375 0.250 Sm
0.124 0.876 0.250 Pb
0.207 0.457 0.415 Pb
0.457 0.207 0.915 Pb
0.543 0.793 0.085 Pb
0.793 0.543 0.585 Pb
0.876 0.124 0.750 Pb

=====

[10]
Zn5Ag3 PBE-GGA optimized geometry; total DFT energy (no corrections) = -1.88 eV per atom; space-group type = Cmmm (65); calculated formation energy = -0.010 eV/atom; energy above the most stable polymorph in this dataset = 0 meV/atom; D(E_F) = 2.36 states/eV/cell
1.0
3.403 -4.370 0.000
3.403 4.370 0.000
0.000 0.000 4.271
Zn Ag
5 3
Direct
0.000 0.000 0.000 Zn
0.000 0.500 0.000 Zn
0.239 0.239 0.500 Zn
0.500 0.000 0.000 Zn
0.761 0.761 0.500 Zn
0.255 0.745 0.500 Ag
0.500 0.500 0.000 Ag
0.745 0.255 0.500 Ag

=====

[11]
Mg8In2Hg PBE-GGA optimized geometry; total DFT energy (no corrections) = -1.75 eV per atom; space-group type = P4/mmm (123); calculated formation energy = -0.069 eV/atom; energy above the most stable polymorph in this dataset = 0 meV/atom; D(E_F) = 6.67 states/eV/cell
1.0
4.506 0.000 0.000
0.000 4.506 0.000
0.000 0.000 12.699
Mg In Hg
8 2 1
Direct
0.000 0.000 0.180 Mg
0.000 0.000 0.820 Mg
0.000 0.500 0.000 Mg
0.000 0.500 0.360 Mg
0.000 0.500 0.640 Mg
0.500 0.000 0.000 Mg
0.500 0.000 0.360 Mg
0.500 0.000 0.640 Mg
0.500 0.500 0.177 In
0.500 0.500 0.823 In
0.500 0.500 0.500 Hg

=====

[12]
Tb6Nd2Y3Th PBE-GGA optimized geometry; total DFT energy (no corrections) = -5.31 eV per atom; space-group type = C2/m (12); calculated formation energy = 0.030 eV/atom; D(E_F) = 16.48 states/eV/cell
1.0
3.111 -5.383 0.000
3.111 5.383 0.000
-2.067 0.000 11.698
Tb Nd Y Th
6 2 3 1
Direct
0.084 0.414 0.750 Tb
0.245 0.245 0.250 Tb
0.414 0.084 0.750 Tb
0.586 0.916 0.250 Tb
0.755 0.755 0.750 Tb
0.916 0.586 0.250 Tb
0.333 0.667 0.500 Nd
0.667 0.333 0.500 Nd
0.167 0.833 0.000 Y
0.500 0.500 0.000 Y
0.833 0.167 0.000 Y
0.000 0.000 0.500 Th